# CaSc2Cl | the Alexandria database | PBE | relaxed
# * E: -3.9439 eV/atom
# * total moment: 0.758 μB per atom
# * E_form (uncorrected): 0.184 eV/atom
data_CaSc2Cl
_cell_length_a 7.661
_cell_length_b 7.661
_cell_length_c 7.661
_cell_angle_alpha 90.00
_cell_angle_beta 90.00
_cell_angle_gamma 90.00
_space_group_name_H-M_alt 'F -4 3 m'
_space_group_IT_number 216
_space_group_name_Hall 'F -4 2 3'
loop_
_atom_site_label
_atom_site_type_symbol
_atom_site_fract_x
_atom_site_fract_y
_atom_site_fract_z
_atom_site_occupancy
Ca1 Ca 0.000 0.000 0.000 1
Sc1 Sc 0.000 0.000 0.500 1
Sc2 Sc 0.250 0.250 0.250 1
Cl1 Cl 0.250 0.250 0.750 1